Arrangement one

## CeGdSc (GGA-PBE)

Data for a geometry-optimized CeGdSc structure.

Calculated values
Density (Mg/m³): 6.72
M_tot (μB/f.u.): 6.76
SG: P3m1

```
CeGdSc
1.0
-0.109 -3.410 -0.323
1.623 1.893 -2.352
7.059 -0.637 4.357
Gd Sc Ce
1 1 1
direct
0.000 0.000 0.002 Gd
0.667 0.333 0.339 Sc
0.333 0.667 0.659 Ce
```

=====

Arrangement two

## CeGdSc (GGA-PBE)

Data for a geometry-optimized CeGdSc structure.

Calculated values
Density (Mg/m³): 6.70
M_tot (μB/f.u.): 6.89
SG: I4mm

```
CeGdSc
1.0
-0.133 -2.866 1.916
-1.129 -1.775 -2.734
7.364 0.806 -1.389
Ce Sc Gd
1 1 1
direct
0.954 0.954 0.908 Ce
0.611 0.611 0.221 Sc
0.285 0.285 0.570 Gd
```

=====

Stability, lowest: arrangement two

=====

Arrangement one

## CeGd2Sc (GGA-PBE)

Data for a geometry-optimized CeGd2Sc structure.

Calculated values
Density (Mg/m³): 7.00
M_tot (μB/f.u.): 15.14
SG: P4/mmm

```
CeGd2Sc
1.0
-2.774 -2.188 3.398
2.566 -4.154 -0.580
3.139 1.451 3.497
Gd Sc Ce
2 1 1
direct
0.000 0.500 0.000 Gd
0.000 0.000 0.500 Gd
0.500 0.000 0.000 Sc
0.500 0.500 0.500 Ce
```

=====

Arrangement two

## CeGd2Sc (GGA-PBE)

Data for a geometry-optimized CeGd2Sc structure.

Calculated values
Density (Mg/m³): 6.85
M_tot (μB/f.u.): 17.43
SG: Fm-3m

```
CeGd2Sc
1.0
-0.830 -5.431 0.816
2.534 -3.717 -3.259
4.086 -3.158 2.045
Ce Gd Sc
1 2 1
direct
0.500 0.500 0.500 Ce
0.250 0.250 0.250 Gd
0.750 0.750 0.750 Gd
0.000 0.000 0.000 Sc
```

=====

Arrangement three

## CeGd2Sc (GGA-PBE)

Data for a geometry-optimized CeGd2Sc structure.

Calculated values
Density (Mg/m³): 7.07
M_tot (μB/f.u.): 13.80
SG: R-3m

```
CeGd2Sc
1.0
3.356 0.000 0.000
1.678 2.907 0.000
1.678 0.969 12.025
Gd Ce Sc
2 1 1
direct
0.090 0.090 0.730 Gd
0.910 0.910 0.270 Gd
0.000 0.000 0.000 Ce
0.500 0.500 0.500 Sc
```

=====

Stability, lowest: arrangement three

=====

Arrangement one

## CeSm2Gd (GGA-PBE)

Data for a geometry-optimized CeSm2Gd structure.

Calculated values
Density (Mg/m³): 7.61
M_tot (μB/f.u.): 7.94
SG: P4/mmm

```
CeSm2Gd
1.0
-4.614 -1.617 1.355
2.107 -3.673 2.790
0.092 3.100 4.012
Gd Sm Ce
1 2 1
direct
0.500 0.000 0.000 Gd
0.000 0.000 0.500 Sm
0.000 0.500 0.000 Sm
0.500 0.500 0.500 Ce
```

=====

Arrangement two

## CeSm2Gd (GGA-PBE)

Data for a geometry-optimized CeSm2Gd structure.

Calculated values
Density (Mg/m³): 7.46
M_tot (μB/f.u.): 10.20
SG: Fm-3m

```
CeSm2Gd
1.0
5.731 0.000 0.000
2.866 4.963 0.000
2.866 1.654 4.679
Sm Gd Ce
2 1 1
direct
0.250 0.250 0.250 Sm
0.750 0.750 0.750 Sm
0.500 0.500 0.500 Gd
0.000 0.000 0.000 Ce
```

=====

Stability, lowest: arrangement two

=====

Arrangement one

## CeGdSn (GGA-PBE)

Data for a geometry-optimized CeGdSn structure.

Calculated values
Density (Mg/m³): 8.05
M_tot (μB/f.u.): 8.70
SG: I4mm

```
CeGdSn
1.0
4.141 0.000 0.000
0.000 4.141 0.000
-2.071 -2.071 5.005
Sn Ce Gd
1 1 1
direct
0.664 0.664 0.328 Sn
0.320 0.320 0.640 Ce
0.016 0.016 0.032 Gd
```

=====

Arrangement two

## CeGdSn (GGA-PBE)

Data for a geometry-optimized CeGdSn structure.

Calculated values
Density (Mg/m³): 8.65
M_tot (μB/f.u.): 8.34
SG: P-6m2

```
CeGdSn
1.0
-1.235 -0.991 2.887
1.564 -4.951 -1.031
3.246 3.328 2.532
Sn Ce Gd
1 1 1
direct
0.667 0.333 0.667 Sn
0.167 0.000 0.000 Ce
0.167 0.667 0.333 Gd
```

=====

Stability, lowest: arrangement two

=====

Arrangement one

## SrCeGd2 (GGA-PBE)

Data for a geometry-optimized SrCeGd2 structure.

Calculated values
Density (Mg/m³): 5.80
M_tot (μB/f.u.): 13.88
SG: R-3m

```
SrCeGd2
1.0
4.150 0.000 0.000
2.075 3.594 0.000
2.075 1.198 10.413
Gd Sr Ce
2 1 1
direct
0.116 0.116 0.652 Gd
0.884 0.884 0.348 Gd
0.000 0.000 0.000 Sr
0.500 0.500 0.500 Ce
```

=====

Arrangement two

## SrCeGd2 (GGA-PBE)

Data for a geometry-optimized SrCeGd2 structure.

Calculated values
Density (Mg/m³): 6.33
M_tot (μB/f.u.): 14.54
SG: P4/mmm

```
SrCeGd2
1.0
3.660 0.000 0.000
0.000 3.660 0.000
0.000 0.000 10.623
Gd Ce Sr
2 1 1
direct
0.000 0.000 0.214 Gd
0.000 0.000 0.786 Gd
0.500 0.500 0.000 Ce
0.500 0.500 0.500 Sr
```

=====

Stability, lowest: arrangement one

=====

Arrangement one

## Ce2GdTc (GGA-PBE)

Data for a geometry-optimized Ce2GdTc structure.

Calculated values
Density (Mg/m³): 9.26
M_tot (μB/f.u.): 9.20
SG: Fm-3m

```
Ce2GdTc
1.0
5.139 0.000 0.000
2.570 4.451 0.000
2.570 1.484 4.196
Tc Ce Gd
1 2 1
direct
0.500 0.500 0.500 Tc
0.750 0.750 0.750 Ce
0.250 0.250 0.250 Ce
0.000 0.000 0.000 Gd
```

=====

Arrangement two

## Ce2GdTc (GGA-PBE)

Data for a geometry-optimized Ce2GdTc structure.

Calculated values
Density (Mg/m³): 9.09
M_tot (μB/f.u.): 8.42
SG: R-3m

```
Ce2GdTc
1.0
-2.255 -1.134 -4.015
2.149 -2.714 -3.242
-1.898 -5.392 -0.212
Tc Gd Ce
1 1 2
direct
0.000 0.000 0.000 Tc
0.500 0.500 0.500 Gd
0.265 0.265 0.205 Ce
0.735 0.735 0.795 Ce
```

=====

Arrangement three

## Ce2GdTc (GGA-PBE)

Data for a geometry-optimized Ce2GdTc structure.

Calculated values
Density (Mg/m³): 9.35
M_tot (μB/f.u.): 6.68
SG: P4/mmm

```
Ce2GdTc
1.0
-2.073 2.456 -1.574
-2.831 -3.750 -2.123
-3.107 0.016 4.115
Ce Tc Gd
2 1 1
direct
0.000 0.000 0.500 Ce
0.000 0.500 0.000 Ce
0.500 0.500 0.500 Tc
0.500 0.000 0.000 Gd
```

=====

Stability, lowest: arrangement three

=====

Arrangement one

## CeGdTe (GGA-PBE)

Data for a geometry-optimized CeGdTe structure.

Calculated values
Density (Mg/m³): 7.64
M_tot (μB/f.u.): 9.56
SG: P-6m2

```
CeGdTe
1.0
-0.991 -3.617 1.047
4.334 -0.344 2.916
-4.432 1.824 2.105
Ce Te Gd
1 1 1
direct
0.000 0.000 0.000 Ce
0.500 0.333 0.667 Te
0.500 0.667 0.333 Gd
```

=====

Arrangement two

## CeGdTe (GGA-PBE)

Data for a geometry-optimized CeGdTe structure.

Calculated values
Density (Mg/m³): 7.79
M_tot (μB/f.u.): 8.77
SG: I4mm

```
CeGdTe
1.0
3.955 0.000 0.000
0.000 3.955 0.000
-1.977 -1.977 5.790
Te Ce Gd
1 1 1
direct
0.673 0.673 0.346 Te
0.014 0.014 0.027 Ce
0.313 0.313 0.627 Gd
```

=====

Stability, lowest: arrangement one

=====

Arrangement one

## Ce2GdTe (GGA-PBE)

Data for a geometry-optimized Ce2GdTe structure.

Calculated values
Density (Mg/m³): 8.82
M_tot (μB/f.u.): 5.79
SG: P4/mmm

```
Ce2GdTe
1.0
5.033 0.000 0.000
0.000 4.597 0.000
0.000 0.000 4.597
Ce Gd Te
2 1 1
direct
0.000 0.500 0.000 Ce
0.000 0.000 0.500 Ce
0.500 0.000 0.000 Gd
0.500 0.500 0.500 Te
```

=====

Arrangement two

## Ce2GdTe (GGA-PBE)

Data for a geometry-optimized Ce2GdTe structure.

Calculated values
Density (Mg/m³): 8.14
M_tot (μB/f.u.): 10.32
SG: Fm-3m

```
Ce2GdTe
1.0
5.461 0.000 0.000
2.731 4.730 0.000
2.731 1.577 4.461
Ce Gd Te
2 1 1
direct
0.750 0.750 0.750 Ce
0.250 0.250 0.250 Ce
0.500 0.500 0.500 Gd
0.000 0.000 0.000 Te
```

=====

Stability, lowest: arrangement two